1.
Density functional theory data (GGA-PBE) for a geometry-optimized Ac2Th3UN6 structure.

Results
Formation energy from raw total energies in eV/atom: -1.347
E in eV/atom: -8.990

a = 6.4183 Å, b = 6.4183 Å, c = 6.3447 Å
α = 99.66°, β = 99.66°, γ = 120.01°
Last column: nearest neighbours and their distance in Å.
Positions (direct):
Ac 0.3331 0.6669 0.0000  6 N 2.73-2.77
Ac 0.6669 0.3331 0.0000  6 N 2.73-2.77
Th 0.1652 0.8348 0.5000  4 N 2.46-2.52
Th 0.8348 0.1652 0.5000  4 N 2.46-2.52
Th 0.5000 0.5000 0.5000  6 N 2.53-2.77
U 0.0000 0.0000 0.0000  6 N 2.31-2.46
N 0.9198 0.6389 0.7600  1 U 2.31, 2 Th 2.52-2.53
N 0.7927 0.7927 0.2641  2 Th 2.46, 1 U 2.46
N 0.0802 0.3611 0.2400  1 U 2.31, 2 Th 2.52-2.53
N 0.6389 0.9198 0.7600  1 U 2.31, 2 Th 2.52-2.53
N 0.2073 0.2073 0.7359  2 Th 2.46, 1 U 2.46
N 0.3611 0.0802 0.2400  1 U 2.31, 2 Th 2.52-2.53

***

2.
Density functional theory data (GGA-PBE) for a geometry-optimized Ac2SiP structure.

Results
Formation energy from raw total energies in eV/atom: -0.604
E in eV/atom: -5.366
Energy above the lowest structure with this stoichiometry in meV/atom: 409

a = 5.4062 Å, b = 5.4062 Å, c = 5.4062 Å
α = 60.00°, β = 60.00°, γ = 60.00°
Last column: nearest neighbours and their distance in Å.
Positions (direct):
P 0.0000 0.0000 0.0000  8 Ac 3.31
Ac 0.2500 0.2500 0.2500  4 Si 3.31, 4 P 3.31
Ac 0.7500 0.7500 0.7500  4 P 3.31, 4 Si 3.31
Si 0.5000 0.5000 0.5000  8 Ac 3.31

***

3.
Density functional theory data (GGA-PBE) for a geometry-optimized AcNiSnRh structure.

Results
Formation enthalpy at 0 K in eV per atom: -0.5671
E in eV/atom: -5.878

a = 4.5067 Å, b = 4.5094 Å, c = 5.7740 Å
α = 112.92°, β = 90.00°, γ = 119.98°
Last column: nearest neighbours and their distance in Å.
Positions (direct):
Ac 0.6187 0.2373 0.4978  4 Ni 3.03-3.36, 4 Rh 3.15-3.28
Ni 0.8144 0.6288 0.0852  3 Sn 2.64, 3 Rh 2.80
Sn 0.1186 0.2372 0.9980  3 Ni 2.64, 3 Rh 2.67
Rh 0.4146 0.8292 0.8863  3 Sn 2.67, 3 Ni 2.80

***

4.
Density functional theory data (GGA-PBE) for a geometry-optimized CeDy3Y6Sc2 structure.

Results
Formation enthalpy at 0 K in eV per atom: 0.0595
E in eV/atom: -5.873

a = 6.0834 Å, b = 6.0834 Å, c = 11.6612 Å
α = 94.98°, β = 94.98°, γ = 119.98°
Last column: nearest neighbours and their distance in Å.
Positions (direct):
Ce 0.0000 0.0000 0.0000  6 Y 3.47, 6 Sc 3.51
Dy 0.1678 0.8322 0.5000  6 Dy 3.50-3.53, 6 Y 3.55-3.57
Dy 0.8322 0.1678 0.5000  6 Dy 3.50-3.53, 6 Y 3.55-3.57
Dy 0.5000 0.5000 0.5000  6 Dy 3.50-3.52, 6 Y 3.56
Y 0.9179 0.5845 0.7548  2 Sc 3.47, 1 Ce 3.47, 6 Y 3.51-3.52, 3 Dy 3.55-3.56
Y 0.7483 0.7483 0.2453  2 Sc 3.47, 1 Ce 3.47, 6 Y 3.51-3.52, 3 Dy 3.56-3.57
Y 0.0821 0.4155 0.2452  2 Sc 3.47, 1 Ce 3.47, 6 Y 3.51-3.52, 3 Dy 3.55-3.56
Y 0.5845 0.9179 0.7548  2 Sc 3.47, 1 Ce 3.47, 6 Y 3.51-3.52, 3 Dy 3.55-3.56
Y 0.2517 0.2517 0.7547  2 Sc 3.47, 1 Ce 3.47, 6 Y 3.51-3.52, 3 Dy 3.56-3.57
Y 0.4155 0.0821 0.2452  2 Sc 3.47, 1 Ce 3.47, 6 Y 3.51-3.52, 3 Dy 3.55-3.56
Sc 0.3333 0.6667 0.0000  6 Y 3.47, 3 Ce 3.51, 3 Sc 3.51
Sc 0.6667 0.3333 0.0000  6 Y 3.47, 3 Ce 3.51, 3 Sc 3.51

***

5.
Density functional theory data (GGA-PBE) for a geometry-optimized NbV2Pb structure.

Results
Formation enthalpy at 0 K in eV per atom: 0.8469
E in eV/atom: -7.157

a = 7.3372 Å, b = 7.3372 Å, c = 5.9011 Å
α = 51.56°, β = 51.56°, γ = 90.00°
Last column: nearest neighbours and their distance in Å.
Positions (direct):
Pb 0.0000 0.0000 0.0000  2 Nb 2.81, 4 V 2.85
Pb 0.7500 0.2500 0.5000  2 Nb 2.81, 4 V 2.85
Nb 0.5000 0.5000 0.0000  4 V 2.54, 2 Pb 2.81
Nb 0.2500 0.7500 0.5000  4 V 2.54, 2 Pb 2.81
V 0.5936 0.1250 0.2500  2 Nb 2.54
V 0.1564 0.6250 0.2500  2 Nb 2.54
V 0.3750 0.4064 0.7500  2 Nb 2.54
V 0.8750 0.8436 0.7500  2 Nb 2.54

***

6.
Density functional theory data (GGA-PBE) for a geometry-optimized Li8Ga2Sn structure.

Results
Formation enthalpy at 0 K in eV per atom: -0.1766
E in eV/atom: -2.483

a = 4.6746 Å, b = 7.3118 Å, c = 7.5317 Å
α = 60.96°, β = 75.56°, γ = 59.10°
Last column: nearest neighbours and their distance in Å.
Positions (direct):
Li 0.8339 0.0910 0.2404  6 Li 2.65-2.97, 2 Ga 2.73-2.89
Li 0.8339 0.3314 0.7596  6 Li 2.65-2.97, 2 Ga 2.73-2.89
Li 0.2926 0.4161 0.0000  1 Li 2.35
Li 0.5000 0.7869 0.4262  2 Ga 2.70, 1 Sn 2.81, 6 Li 2.89-2.97
Li 0.5000 0.2131 0.5738  2 Ga 2.70, 1 Sn 2.81, 6 Li 2.89-2.97
Li 0.7074 0.5839 0.0000  1 Li 2.35
Li 0.1661 0.6686 0.2404  6 Li 2.65-2.97, 2 Ga 2.73-2.89
Li 0.1661 0.9090 0.7596  6 Li 2.65-2.97, 2 Ga 2.73-2.89
Ga 0.0000 0.3153 0.3695  8 Li 2.70-2.89
Ga 0.0000 0.6847 0.6305  8 Li 2.70-2.89
Sn 0.5000 0.0000 0.0000  4 Li 2.68-2.81

***

7.
Density functional theory data (GGA-PBE) for a geometry-optimized Ag2Pt2RhO6 structure.

Results
Formation energy from raw total energies in eV/atom: -0.343
E in eV/atom: -5.333

a = 5.5014 Å, b = 5.5014 Å, c = 6.4385 Å
α = 83.55°, β = 83.55°, γ = 119.47°
Last column: nearest neighbours and their distance in Å.
Positions (direct):
Ag 0.8353 0.1647 0.0000  2 O 2.15
Ag 0.1647 0.8353 0.0000  2 O 2.15
Pt 0.3363 0.6637 0.5000  6 O 2.06-2.11
Pt 0.6637 0.3363 0.5000  6 O 2.06-2.11
Rh 0.0000 0.0000 0.5000  6 O 2.08-2.09
O 0.6292 0.6292 0.6554  2 Pt 2.06, 1 Rh 2.08
O 0.9561 0.2906 0.6589  1 Rh 2.09, 2 Pt 2.10-2.11, 1 Ag 2.15
O 0.3708 0.3708 0.3446  2 Pt 2.06, 1 Rh 2.08
O 0.2906 0.9561 0.6589  1 Rh 2.09, 2 Pt 2.10-2.11, 1 Ag 2.15
O 0.0439 0.7094 0.3411  1 Rh 2.09, 2 Pt 2.10-2.11, 1 Ag 2.15
O 0.7094 0.0439 0.3411  1 Rh 2.09, 2 Pt 2.10-2.11, 1 Ag 2.15

***

8.
Density functional theory data (GGA-PBE) for a geometry-optimized AcPrTh structure.

Results
Formation enthalpy at 0 K in eV per atom: 0.0831
E in eV/atom: -5.353
Energy above the lowest structure with this stoichiometry in meV/atom: 10

a = 3.7386 Å, b = 3.7386 Å, c = 9.2460 Å
α = 90.00°, β = 90.00°, γ = 120.00°
Last column: nearest neighbours and their distance in Å.
Positions (direct):
Pr 0.6667 0.3333 0.3510  3 Th 3.60, 6 Pr 3.74, 3 Ac 4.00
Ac 0.0000 0.0000 0.9864  3 Th 3.69, 6 Ac 3.74, 3 Pr 4.00
Th 0.3333 0.6667 0.6626  3 Pr 3.60, 3 Ac 3.69, 6 Th 3.74

***

9.
Density functional theory data (GGA-PBE) for a geometry-optimized In2SiPt structure.

Results
Formation energy from raw total energies in eV/atom: 0.116
E in eV/atom: -4.120

a = 4.4648 Å, b = 4.4648 Å, c = 3.9196 Å
α = 90.00°, β = 90.00°, γ = 90.00°
Last column: nearest neighbours and their distance in Å.
Positions (direct):
In 0.0000 0.0000 0.0000  4 Pt 2.97, 4 Si 2.97, 4 In 3.16
In 0.5000 0.5000 0.0000  4 Si 2.97, 4 Pt 2.97, 4 In 3.16
Pt 0.5000 0.0000 0.5000  8 In 2.97, 4 Si 3.16
Si 0.0000 0.5000 0.5000  8 In 2.97, 4 Pt 3.16

***

10.
Density functional theory data (GGA-PBE) for a geometry-optimized InRePt2 structure.

Results
Formation enthalpy at 0 K in eV per atom: 0.0813
E in eV/atom: -6.736

a = 4.8199 Å, b = 4.8199 Å, c = 5.1053 Å
α = 82.26°, β = 82.26°, γ = 34.40°
Last column: nearest neighbours and their distance in Å.
Positions (direct):
In 0.7500 0.7500 0.7500  6 Pt 2.80-2.92, 2 In 2.85, 4 Re 2.92
Pt 0.9950 0.9950 0.0169  3 Re 2.78-2.79, 6 Pt 2.79-3.07, 3 In 2.80-2.92
Pt 0.5050 0.5050 0.4831  3 Re 2.78-2.79, 6 Pt 2.79-3.07, 3 In 2.80-2.92
Re 0.2500 0.2500 0.2500  6 Pt 2.78-2.79, 2 Re 2.85, 4 In 2.92

***

11.
Density functional theory data (GGA-PBE) for a geometry-optimized CaMo2Cl structure.

Results
Formation energy from raw total energies in eV/atom: -0.010
E in eV/atom: -6.387
Energy above the lowest structure with this stoichiometry in meV/atom: 134

a = 6.4441 Å, b = 6.4441 Å, c = 3.9860 Å
α = 106.75°, β = 106.75°, γ = 30.49°
Last column: nearest neighbours and their distance in Å.
Positions (direct):
Mo 0.0315 0.0315 0.9825  2 Mo 2.46, 1 Cl 2.61
Mo 0.4685 0.4685 0.5175  2 Mo 2.46, 1 Cl 2.61
Ca 0.7500 0.7500 0.7500  4 Cl 2.62
Cl 0.2500 0.2500 0.2500  2 Mo 2.61, 4 Ca 2.62

***

12.
Density functional theory data (GGA-PBE) for a geometry-optimized Ti2Nb7Re2 structure.

Results
Formation enthalpy at 0 K in eV per atom: 0.1743
E in eV/atom: -9.932

a = 5.2744 Å, b = 6.3273 Å, c = 6.3273 Å
α = 93.17°, β = 76.37°, γ = 76.37°
Last column: nearest neighbours and their distance in Å.
Positions (direct):
Ti 0.5000 0.2706 0.7294  4 Nb 2.65-2.85, 2 Re 2.68
Ti 0.5000 0.7294 0.2706  4 Nb 2.65-2.85, 2 Re 2.68
Nb 0.1641 0.0930 0.5737  4 Nb 2.62-2.82, 2 Ti 2.65-2.85, 1 Re 2.76
Nb 0.8359 0.4263 0.9070  4 Nb 2.62-2.82, 2 Ti 2.65-2.85, 1 Re 2.76
Nb 0.8359 0.9070 0.4263  4 Nb 2.62-2.82, 2 Ti 2.65-2.85, 1 Re 2.76
Nb 0.1641 0.5737 0.0930  4 Nb 2.62-2.82, 2 Ti 2.65-2.85, 1 Re 2.76
Nb 0.0000 0.0000 0.0000  6 Nb 2.77-2.81
Nb 0.5226 0.7667 0.7667  5 Nb 2.72-2.98, 2 Re 2.82-2.94
Nb 0.4774 0.2333 0.2333  5 Nb 2.72-2.98, 2 Re 2.82-2.94
Re 0.8312 0.4131 0.4131  2 Ti 2.68, 1 Re 2.70, 4 Nb 2.76-2.94
Re 0.1688 0.5869 0.5869  2 Ti 2.68, 1 Re 2.70, 4 Nb 2.76-2.94

***

13.
Density functional theory data (GGA-PBE) for a geometry-optimized AcMg2ZnNi2 structure.

Results
Formation enthalpy at 0 K in eV per atom: -0.0368
E in eV/atom: -3.392

a = 5.0130 Å, b = 5.0130 Å, c = 6.2927 Å
α = 113.47°, β = 113.47°, γ = 90.00°
Last column: nearest neighbours and their distance in Å.
Positions (direct):
Ac 0.5000 0.5000 0.0000  2 Ni 2.87
Mg 0.2500 0.7500 0.5000  4 Ni 2.52
Mg 0.7500 0.2500 0.5000  4 Ni 2.52
Zn 0.0000 0.0000 0.0000  2 Ni 2.33
Ni 0.7763 0.7763 0.5526  1 Zn 2.33, 4 Mg 2.52
Ni 0.2237 0.2237 0.4474  1 Zn 2.33, 4 Mg 2.52